First-principles (PBE-GGA) data for Ho2Tl2IrO6 after structural relaxation, as listed in Alexandria.

Lattice parameters (Å, degrees): 5.776 5.776 6.778 96.98 96.98 120.23
Sites, in units of the cell vectors:
Ho 0.335 0.665 0.500
Ho 0.665 0.335 0.500
Tl 0.838 0.162 0.000
Tl 0.162 0.838 0.000
Ir 0.000 0.000 0.500
O 0.745 0.745 0.671
O 0.043 0.355 0.663
O 0.255 0.255 0.329
O 0.355 0.043 0.663
O 0.957 0.645 0.337
O 0.645 0.957 0.337

As for the energy: -6.63 eV per atom. As for the space group: C2/m (12). As for the volume: 17.22 A^3/atom. The uncorrected formation energy comes out at -1.862 eV/atom. The calculation puts the density of states at the Fermi level at 6.81 states/eV per cell.